No. 1
Here is a relaxed structure of Sm6Ge3SeS2 from Alexandria via LeMat-Bulk. Energies are from PBE.

Computed properties:
ΔE_f (raw) (meV/atom): -1435

Cell: 18.195 4.173 8.355 Å, 90.00 103.67 90.00°
Space group C2/m (No. 12)
Inequivalent atoms, fractional coordinates:
Sm  0.001  0.000  0.257 (multiplicity 4)
Sm  0.167  0.500  0.583 (multiplicity 4)
Sm  0.169  0.500  0.084 (multiplicity 4)
Ge  0.000  0.500  0.500 (multiplicity 2)
Ge  0.166  0.000  0.832 (multiplicity 4)
Se  0.000  0.500  0.000 (multiplicity 2)
S  0.167  0.000  0.334 (multiplicity 4)

---

No. 2
Here is a relaxed structure of SnGe2Se2S from Alexandria via LeMat-Bulk. Energies are from PBE.

Computed properties:
ΔE_f (raw) (meV/atom): -232

Cell: 15.173 9.017 5.934 Å, 90.00 90.00 90.00°
Space group Cmc2_1 (No. 36)
Inequivalent atoms, fractional coordinates:
Sn  0.000  0.191  0.000 (multiplicity 4)
Ge  0.149  0.356  0.483 (multiplicity 8)
Se  0.148  0.362  0.923 (multiplicity 8)
S  0.000  0.261  0.436 (multiplicity 4)